A geometry-optimized TaCd4 structure, computed with PBE.

Results
Excess energy over the best structure of this formula in the dataset in eV/atom: 0.644
N(E_F) in states/eV/atom: 0.719
Space group: Pm-3m
E_tot in eV for the cell shown: -10.12
ρ in g/cm3: 6.1

```
TaCd4
1.0
-4.4220 3.1620 1.1485
-2.8536 -4.5301 1.4852
1.7816 0.5922 5.2294
Cd Ta
4 1
direct
0.0000 0.0000 0.0000
0.5000 0.0000 0.5000
0.0000 0.5000 0.5000
0.5000 0.5000 0.0000
0.5000 0.5000 0.5000
```